(1)
The following is a PBEsol calculation of an optimized crystal structure of Ti5CuBi3, from Alexandria via LeMat-Bulk.

Symmetry: No. 193

Cell: 5.542 8.274 8.274 Å, 120.00 90.00 90.00°
Atoms (fractional coordinates):
Ti 0.250 0.263 0.000
Ti 0.000 0.333 0.667
Ti 0.750 0.737 0.000
Ti 0.250 0.737 0.737
Ti 0.500 0.667 0.333
Ti 0.000 0.667 0.333
Ti 0.750 0.263 0.263
Ti 0.500 0.333 0.667
Ti 0.250 0.000 0.263
Ti 0.750 0.000 0.737
Bi 0.750 0.000 0.383
Bi 0.250 0.383 0.383
Bi 0.250 0.617 0.000
Bi 0.750 0.383 0.000
Bi 0.750 0.617 0.617
Bi 0.250 0.000 0.617
Cu 0.000 0.000 0.000
Cu 0.500 0.000 0.000

(2)
The following is a PBEsol calculation of an optimized crystal structure of TiCu3Bi, from Alexandria via LeMat-Bulk.

Symmetry: No. 221

Cell: 4.602 4.602 4.602 Å, 90.00 90.00 90.00°
Atoms (fractional coordinates):
Ti 0.000 0.000 0.000
Cu 0.500 0.000 0.000
Cu 0.000 0.000 0.500
Cu 0.000 0.500 0.000
Bi 0.500 0.500 0.500

(3)
The following is a PBEsol calculation of an optimized crystal structure of YCu2Bi2, from Alexandria via LeMat-Bulk.

Symmetry: No. 139

Cell: 3.930 3.930 7.680 Å, 104.82 104.82 90.00°
Atoms (fractional coordinates):
Y 0.000 0.000 0.000
Cu 0.750 0.250 0.500
Cu 0.250 0.750 0.500
Bi 0.381 0.381 0.762
Bi 0.619 0.619 0.238

(4)
The following is a PBEsol calculation of an optimized crystal structure of Zr5CuBi3, from Alexandria via LeMat-Bulk.

Symmetry: No. 193

Cell: 5.851 8.700 8.700 Å, 120.00 90.00 90.00°
Atoms (fractional coordinates):
Zr 0.250 0.000 0.260
Zr 0.250 0.260 0.000
Zr 0.750 0.260 0.260
Zr 0.000 0.667 0.333
Zr 0.750 0.740 0.000
Zr 0.250 0.740 0.740
Zr 0.750 0.000 0.740
Zr 0.000 0.333 0.667
Zr 0.500 0.667 0.333
Zr 0.500 0.333 0.667
Cu 0.000 0.000 0.000
Cu 0.500 0.000 0.000
Bi 0.250 0.614 0.000
Bi 0.250 0.000 0.614
Bi 0.250 0.386 0.386
Bi 0.750 0.614 0.614
Bi 0.750 0.386 0.000
Bi 0.750 0.000 0.386

The calculation returns the following ΔH_f (0 K) values, one per record and in order: -0.23; 1.03; -0.12; -0.47 eV per atom.